Here is a geometry-optimized V2Ni21B6 structure from Alexandria. Energies are from PBE.

Properties
Symmetry = Fm-3m (225)
Magnetic moment = 0.0 μB/f.u.
N(E_F) = 0.833 states/eV per atom
Energy of formation from the pure elements = -276 meV/atom

Lattice parameters (Å, degrees): 7.3906 7.3906 7.3906 60.00 60.00 60.00
With the nearest neighbours (Å) after each atom.
Sites, in units of the cell vectors:
1 V 0.2500 0.2500 0.2500  4 Ni 2.39
2 V 0.7500 0.7500 0.7500  4 Ni 2.39
3 Ni 0.3404 0.0000 0.0000  2 B 2.06
4 Ni 0.6596 0.0000 0.0000  2 B 2.06
5 Ni 0.0000 0.3404 0.6596  2 B 2.06
6 Ni 0.0000 0.6596 0.3404  2 B 2.06
7 Ni 0.0000 0.3404 0.0000  2 B 2.06
8 Ni 0.6596 0.0000 0.3404  2 B 2.06
9 Ni 0.0000 0.6596 0.0000  2 B 2.06
10 Ni 0.3404 0.0000 0.6596  2 B 2.06
11 Ni 0.0000 0.0000 0.3404  2 B 2.06
12 Ni 0.0000 0.0000 0.6596  2 B 2.06
13 Ni 0.6596 0.3404 0.0000  2 B 2.06
14 Ni 0.3404 0.6596 0.0000  2 B 2.06
15 Ni 0.3818 0.3818 0.3818  3 B 2.11
16 Ni 0.6182 0.6182 0.6182  3 B 2.11
17 Ni 0.3818 0.3818 0.8547  3 B 2.11
18 Ni 0.3818 0.8547 0.3818  3 B 2.11
19 Ni 0.6182 0.6182 0.1453  3 B 2.11
20 Ni 0.6182 0.1453 0.6182  3 B 2.11
21 Ni 0.8547 0.3818 0.3818  3 B 2.11
22 Ni 0.1453 0.6182 0.6182  3 B 2.11
23 Ni 0.0000 0.0000 0.0000  12 Ni 2.52, 6 B 2.81
24 B 0.7312 0.2688 0.2688  8 Ni 2.06-2.11
25 B 0.2688 0.7312 0.7312  8 Ni 2.06-2.11
26 B 0.2688 0.7312 0.2688  8 Ni 2.06-2.11
27 B 0.7312 0.2688 0.7312  8 Ni 2.06-2.11
28 B 0.2688 0.2688 0.7312  8 Ni 2.06-2.11
29 B 0.7312 0.7312 0.2688  8 Ni 2.06-2.11